Record 1
# Tl2Hg3S4 (PBE, relaxed)
# Energy in eV per atom: -2.6377
# ΔE_f (raw) in eV/atom: -0.18
# Crystal system: monoclinic
# Excess energy over the best structure of this formula in the dataset in meV per atom: 33
data_Tl2Hg3S4
_cell_length_a 10.3889
_cell_length_b 16.2120
_cell_length_c 7.1781
_cell_angle_alpha 90.00
_cell_angle_beta 99.15
_cell_angle_gamma 90.00
_symmetry_space_group_name_H-M 'C 1 2/c 1'
_symmetry_Int_Tables_number 15
_symmetry_space_group_name_Hall '-C 2yc'
loop_
_atom_site_label
_atom_site_fract_x
_atom_site_fract_y
_atom_site_fract_z
Tl1 0.1665 0.1066 0.3516
Hg1 0.0000 0.1907 0.7500
Hg2 0.1181 0.3503 0.0552
S1 0.0915 0.2909 0.5132
S2 0.1748 0.0881 0.9180

Record 2
# TlHgS (PBE, relaxed)
# Energy in eV per atom: -2.2469
# ΔE_f (raw) in eV/atom: 0.02
# Crystal system: cubic
# Excess energy over the best structure of this formula in the dataset in meV per atom: 124
data_TlHgS
_cell_length_a 7.0866
_cell_length_b 7.0866
_cell_length_c 7.0866
_cell_angle_alpha 90.00
_cell_angle_beta 90.00
_cell_angle_gamma 90.00
_symmetry_space_group_name_H-M 'F -4 3 m'
_symmetry_Int_Tables_number 216
_symmetry_space_group_name_Hall 'F -4 2 3'
loop_
_atom_site_label
_atom_site_fract_x
_atom_site_fract_y
_atom_site_fract_z
Tl1 0.0000 0.0000 0.0000
Hg1 0.0000 0.0000 0.5000
S1 0.2500 0.2500 0.7500

Record 3
# Tl2Hg3S4 (PBE, relaxed)
# Energy in eV per atom: -2.6705
# ΔE_f (raw) in eV/atom: -0.21
# Crystal system: monoclinic
# Excess energy over the best structure of this formula in the dataset in meV per atom: 0
data_Tl2Hg3S4
_cell_length_a 12.0524
_cell_length_b 6.7589
_cell_length_c 13.6403
_cell_angle_alpha 90.00
_cell_angle_beta 112.76
_cell_angle_gamma 90.00
_symmetry_space_group_name_H-M 'C 1 2/c 1'
_symmetry_Int_Tables_number 15
_symmetry_space_group_name_Hall '-C 2yc'
loop_
_atom_site_label
_atom_site_fract_x
_atom_site_fract_y
_atom_site_fract_z
Tl1 0.1917 0.0672 0.0623
Hg1 0.0000 0.1092 0.2500
Hg2 0.0583 0.4002 0.6517
S1 0.0751 0.3303 0.4209
S2 0.1739 0.1278 0.7494

Record 4
# TlHgS2 (PBE, relaxed)
# Energy in eV per atom: -2.8518
# ΔE_f (raw) in eV/atom: -0.12
# Crystal system: triclinic
data_TlHgS2
_cell_length_a 4.2229
_cell_length_b 6.1799
_cell_length_c 9.2978
_cell_angle_alpha 81.75
_cell_angle_beta 89.72
_cell_angle_gamma 89.89
_symmetry_space_group_name_H-M 'P 1'
_symmetry_Int_Tables_number 1
_symmetry_space_group_name_Hall 'P 1'
loop_
_atom_site_label
_atom_site_fract_x
_atom_site_fract_y
_atom_site_fract_z
Tl1 0.0000 0.0000 0.0000
Tl2 0.4951 0.4689 0.3239
Hg1 0.0096 0.9421 0.4643
Hg2 0.5021 0.5152 0.7978
S1 0.0032 0.2881 0.7744
S2 0.5004 0.7428 0.0229
S3 0.5066 0.8586 0.6007
S4 0.9961 0.1971 0.2267

Record 5
# TlHg3S (PBE, relaxed)
# Energy in eV per atom: -1.2324
# ΔE_f (raw) in eV/atom: 0.25
# Crystal system: cubic
# Excess energy over the best structure of this formula in the dataset in meV per atom: 0
data_TlHg3S
_cell_length_a 5.3953
_cell_length_b 5.3953
_cell_length_c 5.3953
_cell_angle_alpha 90.00
_cell_angle_beta 90.00
_cell_angle_gamma 90.00
_symmetry_space_group_name_H-M 'P m -3 m'
_symmetry_Int_Tables_number 221
_symmetry_space_group_name_Hall '-P 4 2 3'
loop_
_atom_site_label
_atom_site_fract_x
_atom_site_fract_y
_atom_site_fract_z
Tl1 0.0000 0.0000 0.0000
Hg1 0.0000 0.5000 0.5000
S1 0.5000 0.5000 0.5000

Record 6
# Tl2Hg3S2 (PBE, relaxed)
# Energy in eV per atom: -2.1409
# ΔE_f (raw) in eV/atom: -0.16
# Crystal system: monoclinic
data_Tl2Hg3S2
_cell_length_a 4.0633
_cell_length_b 4.0286
_cell_length_c 14.6531
_cell_angle_alpha 90.00
_cell_angle_beta 97.91
_cell_angle_gamma 90.00
_symmetry_space_group_name_H-M 'P 1 2/m 1'
_symmetry_Int_Tables_number 10
_symmetry_space_group_name_Hall '-P 2y'
loop_
_atom_site_label
_atom_site_fract_x
_atom_site_fract_y
_atom_site_fract_z
Tl1 0.1210 0.0000 0.2411
Hg1 0.2959 0.5000 0.5909
Hg2 0.5000 0.5000 0.0000
S1 0.4184 0.5000 0.8386

Record 7
# TlHgS4 (PBE, relaxed)
# Energy in eV per atom: -3.1689
# ΔE_f (raw) in eV/atom: 0.03
# Crystal system: monoclinic
data_TlHgS4
_cell_length_a 10.0594
_cell_length_b 10.1666
_cell_length_c 6.3356
_cell_angle_alpha 90.00
_cell_angle_beta 93.04
_cell_angle_gamma 90.00
_symmetry_space_group_name_H-M 'C 1 2/c 1'
_symmetry_Int_Tables_number 15
_symmetry_space_group_name_Hall '-C 2yc'
loop_
_atom_site_label
_atom_site_fract_x
_atom_site_fract_y
_atom_site_fract_z
Tl1 0.0000 0.1536 0.2500
Hg1 0.0000 0.4793 0.2500
S1 0.1969 0.2866 0.7501
S2 0.2134 0.1091 0.8666

Record 8
# TlHg3S4 (PBE, relaxed)
# Energy in eV per atom: -2.5856
# ΔE_f (raw) in eV/atom: -0.11
# Crystal system: tetragonal
# Excess energy over the best structure of this formula in the dataset in meV per atom: 0
data_TlHg3S4
_cell_length_a 6.1088
_cell_length_b 6.1088
_cell_length_c 12.1804
_cell_angle_alpha 90.00
_cell_angle_beta 90.00
_cell_angle_gamma 90.00
_symmetry_space_group_name_H-M 'I -4 2 m'
_symmetry_Int_Tables_number 121
_symmetry_space_group_name_Hall 'I -4 2'
loop_
_atom_site_label
_atom_site_fract_x
_atom_site_fract_y
_atom_site_fract_z
Tl1 0.0000 0.0000 0.0000
Hg1 0.0000 0.0000 0.5000
Hg2 0.0000 0.5000 0.2500
S1 0.2391 0.2391 0.3702

Record 9
# Tl2Hg2S (PBE, relaxed)
# Energy in eV per atom: -2.0125
# ΔE_f (raw) in eV/atom: -0.12
# Crystal system: tetragonal
# Excess energy over the best structure of this formula in the dataset in meV per atom: 0
data_Tl2Hg2S
_cell_length_a 4.2136
_cell_length_b 4.2136
_cell_length_c 37.8306
_cell_angle_alpha 90.00
_cell_angle_beta 90.00
_cell_angle_gamma 90.00
_symmetry_space_group_name_H-M 'I 41/a m d'
_symmetry_Int_Tables_number 141
loop_
_symmetry_equiv_pos_as_xyz
'x,y,z'
'-x,-y,-z'
'-y+1/4,x+3/4,z+1/4'
'y+1/4,-x+3/4,-z+1/4'
'-x+1/2,-y,z+1/2'
'x+1/2,y,-z+1/2'
'y+1/4,-x+1/4,z+3/4'
'-y+1/4,x+1/4,-z+3/4'
'x,-y,-z'
'-x,y,z'
'-y+1/4,-x+1/4,-z+3/4'
'y+1/4,x+1/4,z+3/4'
'-x+1/2,y,-z+1/2'
'x+1/2,-y,z+1/2'
'y+1/4,x+3/4,-z+1/4'
'-y+1/4,-x+3/4,z+1/4'
'x+1/2,y+1/2,z+1/2'
'-x+1/2,-y+1/2,-z+1/2'
'-y+3/4,x+1/4,z+3/4'
'y+3/4,-x+1/4,-z+3/4'
'-x,-y+1/2,z'
'x,y+1/2,-z'
'y+3/4,-x+3/4,z+1/4'
'-y+3/4,x+3/4,-z+1/4'
'x+1/2,-y+1/2,-z+1/2'
'-x+1/2,y+1/2,z+1/2'
'-y+3/4,-x+3/4,-z+1/4'
'y+3/4,x+3/4,z+1/4'
'-x,y+1/2,-z'
'x,-y+1/2,z'
'y+3/4,x+1/4,-z+3/4'
'-y+3/4,-x+1/4,z+3/4'
loop_
_atom_site_label
_atom_site_fract_x
_atom_site_fract_y
_atom_site_fract_z
Tl1 0.0000 0.2500 0.0764
Hg1 0.0000 0.2500 0.2184
S1 0.0000 0.2500 0.8750

Record 10
# Tl12HgS5 (PBE, relaxed)
# Energy in eV per atom: -2.9720
# ΔE_f (raw) in eV/atom: -0.23
# Crystal system: monoclinic
data_Tl12HgS5
_cell_length_a 7.0666
_cell_length_b 13.1168
_cell_length_c 12.5956
_cell_angle_alpha 90.00
_cell_angle_beta 99.79
_cell_angle_gamma 90.00
_symmetry_space_group_name_H-M 'C 1 2/m 1'
_symmetry_Int_Tables_number 12
_symmetry_space_group_name_Hall '-C 2y'
loop_
_atom_site_label
_atom_site_fract_x
_atom_site_fract_y
_atom_site_fract_z
Tl1 0.1174 0.1676 0.3656
Tl2 0.1230 0.5000 0.3657
Tl3 0.1905 0.3136 0.1340
Tl4 0.1924 0.0000 0.1510
Hg1 0.0000 0.5000 0.0000
S1 0.0000 0.0000 0.5000
S2 0.0000 0.1519 0.0000
S3 0.0000 0.3321 0.5000

Record 11
# TlHgS (PBE, relaxed)
# Energy in eV per atom: -2.3303
# ΔE_f (raw) in eV/atom: -0.07
# Crystal system: monoclinic
# Excess energy over the best structure of this formula in the dataset in meV per atom: 40
data_TlHgS
_cell_length_a 6.0691
_cell_length_b 6.0710
_cell_length_c 5.2618
_cell_angle_alpha 90.00
_cell_angle_beta 90.62
_cell_angle_gamma 90.00
_symmetry_space_group_name_H-M 'C 1 m 1'
_symmetry_Int_Tables_number 8
_symmetry_space_group_name_Hall 'C -2y'
loop_
_atom_site_label
_atom_site_fract_x
_atom_site_fract_y
_atom_site_fract_z
Tl1 0.0000 0.0000 0.0000
Hg1 0.4981 0.0000 0.6447
S1 0.4991 0.0000 0.1628

Record 12
# Tl3HgS8 (PBE, relaxed)
# Energy in eV per atom: -3.3584
# ΔE_f (raw) in eV/atom: 0.01
# Crystal system: orthorhombic
data_Tl3HgS8
_cell_length_a 12.2778
_cell_length_b 12.2890
_cell_length_c 9.3076
_cell_angle_alpha 90.00
_cell_angle_beta 90.00
_cell_angle_gamma 90.00
_symmetry_space_group_name_H-M 'F m m 2'
_symmetry_Int_Tables_number 42
_symmetry_space_group_name_Hall 'F 2 -2'
loop_
_atom_site_label
_atom_site_fract_x
_atom_site_fract_y
_atom_site_fract_z
Tl1 0.0000 0.0000 0.0000
Tl2 0.2500 0.2500 0.2511
Hg1 0.0000 0.0000 0.5001
S1 0.0000 0.1979 0.3868
S2 0.0000 0.1993 0.1686
S3 0.1980 0.0000 0.6126
S4 0.1993 0.0000 0.8308